Entry 1:
Below is an optimized crystal structure of NbInCuNi, with properties calculated at the PBE-GGA level.

Calculated values
**Volume**: 60.7 Å³/f.u.
**Raw total energy**: -89.2 eV per cell
**Distance to the lowest polymorph of the same formula**: 0.0000 eV/atom
**Magnetization**: 0.03 μB per cell

The structure in CIF format:
```
data_NbInCuNi
_symmetry_space_group_name_H-M 'P 1'
_symmetry_Int_Tables_number 1
_cell_length_a 6.2377
_cell_length_b 6.2377
_cell_length_c 6.2377
_cell_angle_alpha 90.00
_cell_angle_beta 90.00
_cell_angle_gamma 90.00
loop_
_symmetry_equiv_pos_as_xyz
'x,y,z'
loop_
_atom_site_label
_atom_site_type_symbol
_atom_site_fract_x
_atom_site_fract_y
_atom_site_fract_z
Nb1 Nb 0.0000 0.0000 0.0000
Nb2 Nb 0.0000 0.5000 0.5000
Nb3 Nb 0.5000 0.0000 0.5000
Nb4 Nb 0.5000 0.5000 0.0000
In1 In 0.0000 0.0000 0.5000
In2 In 0.0000 0.5000 0.0000
In3 In 0.5000 0.0000 0.0000
In4 In 0.5000 0.5000 0.5000
Cu1 Cu 0.2500 0.2500 0.7500
Cu2 Cu 0.2500 0.7500 0.2500
Cu3 Cu 0.7500 0.2500 0.2500
Cu4 Cu 0.7500 0.7500 0.7500
Ni1 Ni 0.2500 0.2500 0.2500
Ni2 Ni 0.2500 0.7500 0.7500
Ni3 Ni 0.7500 0.2500 0.7500
Ni4 Ni 0.7500 0.7500 0.2500
```

Entry 2:
Below is an optimized crystal structure of Sc2Mo, with properties calculated at the PBE-GGA level.

Calculated values
**Volume**: 59.9 Å³/f.u.
**Raw total energy**: -91.8 eV per cell
**Distance to the lowest polymorph of the same formula**: 0.0000 eV/atom
**Magnetization**: 0.00 μB per cell

The structure in CIF format:
```
data_Sc2Mo
_symmetry_space_group_name_H-M 'P 1'
_symmetry_Int_Tables_number 1
_cell_length_a 7.5156
_cell_length_b 3.4940
_cell_length_c 9.1190
_cell_angle_alpha 90.00
_cell_angle_beta 90.00
_cell_angle_gamma 90.00
loop_
_symmetry_equiv_pos_as_xyz
'x,y,z'
loop_
_atom_site_label
_atom_site_type_symbol
_atom_site_fract_x
_atom_site_fract_y
_atom_site_fract_z
Sc1 Sc 0.0183 0.2500 0.1551
Sc2 Sc 0.1424 0.2500 0.5702
Sc3 Sc 0.3576 0.7500 0.0702
Sc4 Sc 0.4817 0.7500 0.6551
Sc5 Sc 0.5183 0.2500 0.3449
Sc6 Sc 0.6424 0.2500 0.9298
Sc7 Sc 0.8576 0.7500 0.4298
Sc8 Sc 0.9817 0.7500 0.8449
Mo1 Mo 0.2230 0.7500 0.3408
Mo2 Mo 0.2770 0.2500 0.8408
Mo3 Mo 0.7230 0.7500 0.1592
Mo4 Mo 0.7770 0.2500 0.6592
```

Entry 3:
Below is an optimized crystal structure of Sr2ReSO6, with properties calculated at the PBE-GGA level.

Calculated values
**Volume**: 141.5 Å³/f.u.
**Raw total energy**: -64.0 eV per cell
**Magnetization**: 2.91 μB per cell

The structure in CIF format:
```
data_Sr2ReSO6
_symmetry_space_group_name_H-M 'P 1'
_symmetry_Int_Tables_number 1
_cell_length_a 6.1436
_cell_length_b 6.1436
_cell_length_c 5.6105
_cell_angle_alpha 117.10
_cell_angle_beta 117.10
_cell_angle_gamma 50.70
loop_
_symmetry_equiv_pos_as_xyz
'x,y,z'
loop_
_atom_site_label
_atom_site_type_symbol
_atom_site_fract_x
_atom_site_fract_y
_atom_site_fract_z
Sr1 Sr 0.1849 0.1849 0.1864
Sr2 Sr 0.8151 0.8151 0.8136
Re1 Re 0.5000 0.5000 0.5000
S1 S 0.5000 0.5000 0.0000
O1 O 0.2671 0.7311 0.2170
O2 O 0.2689 0.7329 0.7830
O3 O 0.3250 0.3250 0.8234
O4 O 0.6750 0.6750 0.1766
O5 O 0.7311 0.2671 0.2170
O6 O 0.7329 0.2689 0.7830
```

- magnetization of number 1 (NbInCuNi)?
  0.03 μB per cell